# 1
Density functional theory data (PBE) for crystalline Pm4PuCo5 at its relaxed geometry.

Lattice parameters (Å, degrees): 9.263 9.263 4.792 90.00 90.00 90.00
Space group I4mm (No. 107)
One atom of each set of equivalent atoms:
Pm (0.000, 0.287, 0.000) [8 per cell]
Pu (0.000, 0.000, 0.613) [2 per cell]
Co (0.000, 0.000, 0.124) [2 per cell]
Co (0.179, 0.179, 0.486) [8 per cell]

Its calculated density is 9036 kg/m3. The calculation puts the formation energy at 0.08 eV per atom.



# 2
Density functional theory data (PBE) for crystalline MnZnAu2 at its relaxed geometry.

Lattice parameters (Å, degrees): 3.862 4.083 5.006 113.80 112.52 90.10
Space group P1 (No. 1)
One atom of each set of equivalent atoms:
Mn (0.000, 0.000, 0.000) [1 per cell]
Zn (0.251, 0.751, 0.502) [1 per cell]
Au (0.505, 0.506, 0.011) [1 per cell]
Au (0.752, 0.250, 0.502) [1 per cell]

Its calculated density is 13026 kg/m3. The calculation puts the formation energy at -0.10 eV per atom.



# 3
Density functional theory data (PBE) for crystalline La9HoTl2 at its relaxed geometry.

Lattice parameters (Å, degrees): 5.093 5.093 15.522 90.00 90.00 90.00
Space group P4/mmm (No. 123)
One atom of each set of equivalent atoms:
La (0.000, 0.000, 0.000) [1 per cell]
La (0.000, 0.000, 0.336) [2 per cell]
La (0.000, 0.500, 0.171) [4 per cell]
La (0.000, 0.500, 0.500) [2 per cell]
Ho (0.500, 0.500, 0.000) [1 per cell]
Tl (0.500, 0.500, 0.337) [2 per cell]

Its calculated density is 7523 kg/m3. The calculation puts the formation energy at -0.15 eV per atom.



# 4
Density functional theory data (PBE) for crystalline DyThRuPt at its relaxed geometry.

Lattice parameters (Å, degrees): 7.055 7.055 7.055 90.00 90.00 90.00
Space group F-43m (No. 216)
One atom of each set of equivalent atoms:
Dy (0.000, 0.000, 0.000) [4 per cell]
Th (0.000, 0.000, 0.500) [4 per cell]
Ru (0.250, 0.250, 0.750) [4 per cell]
Pt (0.250, 0.250, 0.250) [4 per cell]

Its calculated density is 13065 kg/m3. The calculation puts the formation energy at -0.74 eV per atom. The distance to the lowest polymorph of the same formula is 140 meV/atom.



# 5
Density functional theory data (PBE) for crystalline BC3 at its relaxed geometry.

Lattice parameters (Å, degrees): 13.469 2.492 4.647 90.00 107.55 90.00
Space group Cm (No. 8)
One atom of each set of equivalent atoms:
B (0.000, 0.000, 0.000) [2 per cell]
B (0.165, 0.000, 0.837) [2 per cell]
B (0.333, 0.500, 0.166) [2 per cell]
C (0.117, 0.500, 0.593) [2 per cell]
C (0.127, 0.000, 0.133) [2 per cell]
C (0.164, 0.500, 0.329) [2 per cell]
C (0.288, 0.500, 0.450) [2 per cell]
C (0.290, 0.000, 0.923) [2 per cell]
C (0.329, 0.000, 0.650) [2 per cell]
C (0.451, 0.000, 0.753) [2 per cell]
C (0.460, 0.500, 0.291) [2 per cell]
C (0.496, 0.000, 0.486) [2 per cell]

Its calculated density is 3138 kg/m3. The calculation puts the formation energy at 0.31 eV per atom. The distance to the lowest polymorph of the same formula is 70 meV/atom.



# 6
Density functional theory data (PBE) for crystalline K2NpS2I2 at its relaxed geometry.

Lattice parameters (Å, degrees): 5.240 5.240 18.243 90.00 90.00 90.00
Space group I4/mmm (No. 139)
One atom of each set of equivalent atoms:
K (0.000, 0.000, 0.123) [4 per cell]
Np (0.000, 0.000, 0.500) [2 per cell]
S (0.000, 0.500, 0.000) [4 per cell]
I (0.000, 0.000, 0.329) [4 per cell]

Its calculated density is 4197 kg/m3. The raw formation energy is -1306 meV per atom.



# 7
Density functional theory data (PBE) for crystalline K5Cr at its relaxed geometry.

Lattice parameters (Å, degrees): 11.340 11.340 11.340 90.00 90.00 90.00
Space group F-43m (No. 216)
One atom of each set of equivalent atoms:
K (0.000, 0.000, 0.000) [4 per cell]
K (0.124, 0.124, 0.624) [16 per cell]
Cr (0.250, 0.250, 0.250) [4 per cell]

Its calculated density is 1127 kg/m3. The calculation puts the formation energy at 0.57 eV per atom. The distance to the lowest polymorph of the same formula is 140 meV/atom.



# 8
Density functional theory data (PBE) for crystalline Ca2Be3Au9 at its relaxed geometry.

Lattice parameters (Å, degrees): 13.393 7.731 10.489 90.00 114.94 90.00
Space group C2/c (No. 15)
One atom of each set of equivalent atoms:
Ca (0.168, 0.083, 0.250) [8 per cell]
Be (0.090, 0.230, 0.500) [8 per cell]
Be (0.250, 0.250, 0.000) [4 per cell]
Au (0.000, 0.350, 0.250) [4 per cell]
Au (0.062, 0.083, 0.934) [8 per cell]
Au (0.105, 0.414, 0.064) [8 per cell]
Au (0.114, 0.303, 0.747) [8 per cell]
Au (0.228, 0.417, 0.437) [8 per cell]

Its calculated density is 12680 kg/m3. The calculation puts the formation energy at -0.37 eV per atom.



# 9
Density functional theory data (PBE) for crystalline Dy4ErTm2 at its relaxed geometry.

Lattice parameters (Å, degrees): 6.122 6.448 11.375 90.00 105.42 90.00
Space group P2_1/m (No. 11)
One atom of each set of equivalent atoms:
Dy (0.030, 0.250, 0.361) [2 per cell]
Dy (0.144, 0.250, 0.945) [2 per cell]
Dy (0.348, 0.504, 0.213) [4 per cell]
Er (0.161, 0.250, 0.661) [2 per cell]
Tm (0.293, 0.750, 0.927) [2 per cell]
Tm (0.391, 0.750, 0.502) [2 per cell]

Its calculated density is 8862 kg/m3. The calculation puts the formation energy at 0.14 eV per atom. The distance to the lowest polymorph of the same formula is 135 meV/atom.



# 10
Density functional theory data (PBE) for crystalline Tm2InFe at its relaxed geometry.

Lattice parameters (Å, degrees): 3.4922 3.4922 29.9042 90.00 90.00 120.00
Space group R-3m (No. 166, hexagonal axes)
One atom of each set of equivalent atoms:
Tm (0.0000, 0.0000, 0.1081) [6 per cell]
In (0.0000, 0.0000, 0.0000) [3 per cell]
Fe (0.0000, 0.0000, 0.5000) [3 per cell]

Its calculated density is 8021 kg/m3. The calculation puts the formation energy at 0.20 eV per atom.



# 11
Density functional theory data (PBE) for crystalline NiPW at its relaxed geometry.

Lattice parameters (Å, degrees): 3.7576 3.7576 3.1553 90.00 90.00 120.00
Space group P-6m2 (No. 187)
One atom of each set of equivalent atoms:
Ni (0.0000, 0.0000, 0.0000) [1 per cell]
P (0.3333, 0.6667, 0.0000) [1 per cell]
W (0.6667, 0.3333, 0.5000) [1 per cell]

Its calculated density is 11771 kg/m3. The calculation puts the formation energy at -0.05 eV per atom.



# 12
Density functional theory data (PBE) for crystalline ZnSn2PC at its relaxed geometry.

Lattice parameters (Å, degrees): 5.454 5.454 3.594 90.00 90.00 90.00
Space group P4/mmm (No. 123)
One atom of each set of equivalent atoms:
Zn (0.000, 0.000, 0.000) [1 per cell]
Sn (0.000, 0.500, 0.000) [2 per cell]
P (0.500, 0.500, 0.500) [1 per cell]
C (0.000, 0.000, 0.500) [1 per cell]

Its calculated density is 5371 kg/m3. The calculation puts the formation energy at 1.11 eV per atom.



# 13
Density functional theory data (PBE) for crystalline Cs12Au3F5 at its relaxed geometry.

Lattice parameters (Å, degrees): 19.453 19.453 19.453 90.00 90.00 90.00
Space group Ia-3d (No. 230)
One atom of each set of equivalent atoms:
Cs (0.030, 0.049, 0.650) [96 per cell]
Au (0.000, 0.250, 0.125) [24 per cell]
F (0.000, 0.000, 0.000) [16 per cell]
F (0.000, 0.250, 0.375) [24 per cell]

Its calculated density is 4116 kg/m3. The raw formation energy is -1370 meV per atom.



# 14
Density functional theory data (PBE) for crystalline La2SeBr at its relaxed geometry.

Lattice parameters (Å, degrees): 7.476 4.296 7.548 90.00 109.10 90.00
Space group C2/m (No. 12)
One atom of each set of equivalent atoms:
La (0.244, 0.000, 0.231) [4 per cell]
Se (0.000, 0.500, 0.000) [2 per cell]
Br (0.000, 0.000, 0.500) [2 per cell]

Its calculated density is 6330 kg/m3. The raw formation energy is -1642 meV per atom. The distance to the lowest polymorph of the same formula is 0 meV/atom.



# 15
Density functional theory data (PBE) for crystalline Th3CoTeS at its relaxed geometry.

Lattice parameters (Å, degrees): 7.518 4.400 9.978 90.00 107.52 90.00
Space group P2_1/m (No. 11)
One atom of each set of equivalent atoms:
Th (0.009, 0.250, 0.350) [2 per cell]
Th (0.232, 0.250, 0.970) [2 per cell]
Th (0.430, 0.750, 0.602) [2 per cell]
Co (0.227, 0.250, 0.606) [2 per cell]
Te (0.225, 0.750, 0.210) [2 per cell]
S (0.383, 0.750, 0.872) [2 per cell]

Its calculated density is 9651 kg/m3. The raw formation energy is -880 meV per atom.



# 16
Density functional theory data (PBE) for crystalline LaAsN2F at its relaxed geometry.

Lattice parameters (Å, degrees): 4.035 4.035 4.093 90.00 90.00 90.00
Space group P4/mmm (No. 123)
One atom of each set of equivalent atoms:
La (0.000, 0.000, 0.000) [1 per cell]
As (0.500, 0.500, 0.500) [1 per cell]
N (0.000, 0.500, 0.500) [2 per cell]
F (0.500, 0.500, 0.000) [1 per cell]

Its calculated density is 6501 kg/m3. The raw formation energy is -754 meV per atom. The distance to the lowest polymorph of the same formula is 0 meV/atom.



# 17
Density functional theory data (PBE) for crystalline Nd2RuPt at its relaxed geometry.

Lattice parameters (Å, degrees): 3.524 3.524 7.272 90.00 90.00 90.00
Space group P4/mmm (No. 123)
One atom of each set of equivalent atoms:
Nd (0.000, 0.000, 0.244) [2 per cell]
Ru (0.500, 0.500, 0.000) [1 per cell]
Pt (0.500, 0.500, 0.500) [1 per cell]

Its calculated density is 10748 kg/m3. The calculation puts the formation energy at -0.60 eV per atom.



# 18
Density functional theory data (PBE) for crystalline NiAs2 at its relaxed geometry.

Lattice parameters (Å, degrees): 3.6591 3.6591 4.6938 90.00 90.00 120.00
Space group P-3m1 (No. 164)
One atom of each set of equivalent atoms:
Ni (0.0000, 0.0000, 0.0000) [1 per cell]
As (0.3333, 0.6667, 0.2292) [2 per cell]

Its calculated density is 6363 kg/m3. The calculation puts the formation energy at -0.07 eV per atom.



# 19
Density functional theory data (PBE) for crystalline Sr4Ga3Cu at its relaxed geometry.

Lattice parameters (Å, degrees): 4.479 4.791 11.565 90.00 90.00 90.00
Space group Pmm2 (No. 25)
One atom of each set of equivalent atoms:
Sr (0.000, 0.000, 0.000) [1 per cell]
Sr (0.000, 0.500, 0.498) [1 per cell]
Sr (0.500, 0.000, 0.715) [1 per cell]
Sr (0.500, 0.500, 0.213) [1 per cell]
Ga (0.000, 0.500, 0.796) [1 per cell]
Ga (0.500, 0.000, 0.406) [1 per cell]
Ga (0.500, 0.500, 0.920) [1 per cell]
Cu (0.000, 0.000, 0.310) [1 per cell]

Its calculated density is 4170 kg/m3. The calculation puts the formation energy at -0.32 eV per atom.



# 20
Density functional theory data (PBE) for crystalline KBaNa2Ga at its relaxed geometry.

Lattice parameters (Å, degrees): 6.157 6.157 6.278 90.00 90.00 90.00
Space group P4/mmm (No. 123)
One atom of each set of equivalent atoms:
K (0.000, 0.000, 0.000) [1 per cell]
Ba (0.500, 0.500, 0.000) [1 per cell]
Na (0.000, 0.500, 0.500) [2 per cell]
Ga (0.500, 0.500, 0.500) [1 per cell]

Its calculated density is 2039 kg/m3. The calculation puts the formation energy at 0.05 eV per atom.



# 21
Density functional theory data (PBE) for crystalline Rb2CuHgN at its relaxed geometry.

Lattice parameters (Å, degrees): 6.366 6.366 3.586 90.00 90.00 90.00
Space group P4/mmm (No. 123)
One atom of each set of equivalent atoms:
Rb (0.000, 0.500, 0.000) [2 per cell]
Cu (0.000, 0.000, 0.500) [1 per cell]
Hg (0.500, 0.500, 0.500) [1 per cell]
N (0.000, 0.000, 0.000) [1 per cell]

Its calculated density is 5132 kg/m3. The raw formation energy is 103 meV per atom.